Record 1
The following is a DFT calculation (meta-GGA SCAN) of a crystal of HgPt3 relaxed with PBEsol.

Results
Density of states at the Fermi level = 3.8 states/eV per cell
M_tot = 0.6 μB per formula unit
Calculated formation energy = 118 meV/atom
Raw total energy = -69.569 eV/atom

The structure in CIF format:
```
data_HgPt3
_chemical_formula_sum 'Hg1 Pt3'
_space_group_name_H-M_alt 'P 4/m m m'
_space_group_IT_number 123
_space_group_name_Hall '-P 4 2'
_cell_length_a 2.8343
_cell_length_b 2.8343
_cell_length_c 7.9997
_cell_angle_alpha 90.00
_cell_angle_beta 90.00
_cell_angle_gamma 90.00
loop_
_atom_site_label
_atom_site_fract_x
_atom_site_fract_y
_atom_site_fract_z
_atom_site_occupancy
Hg1 0.0000 0.0000 0.0000 1
Pt1 0.0000 0.0000 0.5000 1
Pt2 0.5000 0.5000 0.2616 1
```

=====

Record 2
The following is a DFT calculation (meta-GGA SCAN) of a crystal of InAg3 relaxed with PBEsol.

Results
Density of states at the Fermi level = 1.9 states/eV per cell
M_tot = 0.0 μB per formula unit
Calculated formation energy = -8 meV/atom
Raw total energy = -31.880 eV/atom

The structure in CIF format:
```
data_InAg3
_chemical_formula_sum 'In2 Ag6'
_space_group_name_H-M_alt 'C 1 2/m 1'
_space_group_IT_number 12
_cell_length_a 9.6330
_cell_length_b 2.9925
_cell_length_c 5.0096
_cell_angle_alpha 90.00
_cell_angle_beta 100.86
_cell_angle_gamma 90.00
loop_
_space_group_symop_operation_xyz
'x,y,z'
'-x,-y,-z'
'-x,y,-z'
'x,-y,z'
'x+1/2,y+1/2,z'
'-x+1/2,-y+1/2,-z'
'-x+1/2,y+1/2,-z'
'x+1/2,-y+1/2,z'
loop_
_atom_site_label
_atom_site_fract_x
_atom_site_fract_y
_atom_site_fract_z
_atom_site_occupancy
In1 0.0000 0.0000 0.0000 1
Ag1 0.0000 0.5000 0.5000 1
Ag2 0.2490 0.0000 0.7459 1
```

=====

Record 3
The following is a DFT calculation (meta-GGA SCAN) of a crystal of Li8Cu relaxed with PBEsol.

Results
Density of states at the Fermi level = 7.6 states/eV per cell
M_tot = 0.2 μB per formula unit
Calculated formation energy = 20 meV/atom
Raw total energy = -3.793 eV/atom

The structure in CIF format:
```
data_Li8Cu
_chemical_formula_sum 'Li16 Cu2'
_space_group_name_H-M_alt 'I 4/m m m'
_space_group_IT_number 139
_space_group_name_Hall '-I 4 2'
_cell_length_a 8.5149
_cell_length_b 8.5149
_cell_length_c 4.2744
_cell_angle_alpha 90.00
_cell_angle_beta 90.00
_cell_angle_gamma 90.00
loop_
_atom_site_label
_atom_site_fract_x
_atom_site_fract_y
_atom_site_fract_z
_atom_site_occupancy
Li1 0.0000 0.3191 0.0000 1
Li2 0.1558 0.1558 0.5000 1
Cu1 0.0000 0.0000 0.0000 1
```

=====

Record 4
The following is a DFT calculation (meta-GGA SCAN) of a crystal of Y4In5 relaxed with PBEsol.

Results
Density of states at the Fermi level = 11.0 states/eV per cell
M_tot = 0.0 μB per formula unit
Calculated formation energy = -592 meV/atom
Raw total energy = -31.515 eV/atom

The structure in CIF format:
```
data_Y4In5
_chemical_formula_sum 'Y8 In10'
_space_group_name_H-M_alt 'P 63/m c m'
_space_group_IT_number 193
_space_group_name_Hall '-P 6c 2'
_cell_length_a 9.1238
_cell_length_b 9.1238
_cell_length_c 6.3484
_cell_angle_alpha 90.00
_cell_angle_beta 90.00
_cell_angle_gamma 120.00
loop_
_atom_site_label
_atom_site_fract_x
_atom_site_fract_y
_atom_site_fract_z
_atom_site_occupancy
Y1 0.0000 0.0000 0.0000 1
Y2 0.0000 0.3675 0.2500 1
In1 0.0000 0.3010 0.7500 1
In2 0.3333 0.6667 0.0000 1
```

=====

Record 5
The following is a DFT calculation (meta-GGA SCAN) of a crystal of Mg2PbBr relaxed with PBEsol.

Results
Density of states at the Fermi level = 2.9 states/eV per cell
M_tot = 0.0 μB per formula unit
Raw total energy = -26.783 eV/atom
Energy relative to the elements, uncorrected = -486 meV per atom

The structure in CIF format:
```
data_Mg2PbBr
_chemical_formula_sum 'Mg6 Pb3 Br3'
_space_group_name_H-M_alt 'R -3 m'
_space_group_IT_number 166
_space_group_name_Hall '-R 3 2"'
_cell_length_a 3.9887
_cell_length_b 3.9887
_cell_length_c 22.7850
_cell_angle_alpha 90.00
_cell_angle_beta 90.00
_cell_angle_gamma 120.00
loop_
_atom_site_label
_atom_site_fract_x
_atom_site_fract_y
_atom_site_fract_z
_atom_site_occupancy
Mg1 0.0000 0.0000 0.2470 1
Pb1 0.0000 0.0000 0.5000 1
Br1 0.0000 0.0000 0.0000 1
```

=====

Record 6
The following is a DFT calculation (meta-GGA SCAN) of a crystal of LiVOF3 relaxed with PBEsol.

Results
Density of states at the Fermi level = 3.7 states/eV per cell
M_tot = 1.0 μB per formula unit
Raw total energy = -9.117 eV/atom
Energy relative to the elements, uncorrected = -2995 meV per atom

The structure in CIF format:
```
data_LiVOF3
_chemical_formula_sum 'Li2 V2 O2 F6'
_space_group_name_H-M_alt 'P -1'
_space_group_IT_number 2
_cell_length_a 4.6068
_cell_length_b 5.3495
_cell_length_c 5.4905
_cell_angle_alpha 66.97
_cell_angle_beta 89.08
_cell_angle_gamma 87.15
loop_
_space_group_symop_operation_xyz
'x,y,z'
'-x,-y,-z'
loop_
_atom_site_label
_atom_site_fract_x
_atom_site_fract_y
_atom_site_fract_z
_atom_site_occupancy
Li1 0.0000 0.0000 0.0000 1
Li2 0.5000 0.5000 0.0000 1
V1 0.0000 0.5000 0.5000 1
V2 0.5000 0.0000 0.5000 1
O1 0.2229 0.1894 0.6055 1
F1 0.1864 0.6347 0.1698 1
F2 0.2812 0.6691 0.6432 1
F3 0.3231 0.1319 0.1637 1
```